(w)
Density functional theory data (GGA-PBE) for RbBa3Bi after structural relaxation.

Fermi-level density of states = 0.9236 states/eV per atom

a b c (Å): 6.4487 6.4487 6.4487
angles (deg): 90.00 90.00 90.00
Last column: nearest neighbours and their distance in Å.
Fractional coordinates of all 5 atoms:
Ba (0.5000, 0.0000, 0.0000)  2 Rb 3.22
Ba (0.0000, 0.5000, 0.0000)  2 Rb 3.22
Ba (0.0000, 0.0000, 0.5000)  2 Rb 3.22
Rb (0.0000, 0.0000, 0.0000)  6 Ba 3.22
Bi (0.5000, 0.5000, 0.5000)  12 Ba 4.56

=====

(x)
Density functional theory data (GGA-PBE) for RbBa3Bi after structural relaxation.

Fermi-level density of states = 1.0167 states/eV per atom

a b c (Å): 6.9836 6.9836 6.9836
angles (deg): 90.00 90.00 90.00
Last column: nearest neighbours and their distance in Å.
Fractional coordinates of all 5 atoms:
Ba (0.0000, 0.5000, 0.0000)  2 Bi 3.49
Ba (0.5000, 0.0000, 0.0000)  2 Bi 3.49
Ba (0.0000, 0.0000, 0.5000)  2 Bi 3.49
Bi (0.0000, 0.0000, 0.0000)  6 Ba 3.49
Rb (0.5000, 0.5000, 0.5000)  12 Ba 4.94

=====

Most stable = (x)

=====

(w)
Density functional theory data (GGA-PBE) for RbBa2Bi2 after structural relaxation.

Fermi-level density of states = 0.2410 states/eV per atom

a b c (Å): 10.4014 10.4014 4.1724
angles (deg): 90.00 90.00 90.00
Last column: nearest neighbours and their distance in Å.
Fractional coordinates of all 10 atoms:
Ba (0.6336, 0.8664, 0.5000)  6 Bi 3.64-3.75, 1 Ba 3.93
Ba (0.1336, 0.6336, 0.5000)  6 Bi 3.64-3.75, 1 Ba 3.93
Ba (0.8664, 0.3664, 0.5000)  6 Bi 3.64-3.75, 1 Ba 3.93
Ba (0.3664, 0.1336, 0.5000)  6 Bi 3.64-3.75, 1 Ba 3.93
Bi (0.6640, 0.1640, 0.0000)  6 Ba 3.64-3.75, 2 Rb 3.89
Bi (0.1640, 0.3360, 0.0000)  6 Ba 3.64-3.75, 2 Rb 3.89
Bi (0.3360, 0.8360, 0.0000)  6 Ba 3.64-3.75, 2 Rb 3.89
Bi (0.8360, 0.6640, 0.0000)  6 Ba 3.64-3.75, 2 Rb 3.89
Rb (0.0000, 0.0000, 0.0000)  4 Bi 3.89, 2 Rb 4.17
Rb (0.5000, 0.5000, 0.0000)  4 Bi 3.89, 2 Rb 4.17

=====

(x)
Density functional theory data (GGA-PBE) for RbBa2Bi2 after structural relaxation.

Fermi-level density of states = 0.5099 states/eV per atom

a b c (Å): 6.5744 6.5744 7.9812
angles (deg): 65.68 65.68 90.00
Last column: nearest neighbours and their distance in Å.
Fractional coordinates of all 5 atoms:
Bi (0.2500, 0.7500, 0.5000)  4 Ba 3.44
Bi (0.7500, 0.2500, 0.5000)  4 Ba 3.44
Ba (0.3272, 0.3272, 0.3456)  4 Bi 3.44
Ba (0.6728, 0.6728, 0.6544)  4 Bi 3.44
Rb (0.0000, 0.0000, 0.0000)  2 Ba 4.25, 8 Bi 4.62

=====

Most stable = (w)

=====

(w)
Density functional theory data (GGA-PBE) for Ba2Bi2Rh after structural relaxation.

Fermi-level density of states = 0.7702 states/eV per atom

a b c (Å): 4.8186 6.8236 11.5646
angles (deg): 86.48 77.98 69.32
Last column: nearest neighbours and their distance in Å.
Fractional coordinates of all 10 atoms:
Bi (0.6643, 0.8155, 0.8558)  1 Rh 2.78
Bi (0.1248, 0.1873, 0.5631)  3 Rh 2.75-2.84
Bi (0.3357, 0.1845, 0.1442)  1 Rh 2.78
Bi (0.8752, 0.8127, 0.4369)  3 Rh 2.75-2.84
Ba (0.0607, 0.7664, 0.1122)  6 Bi 3.61-3.79, 2 Rh 3.78, 1 Ba 3.94
Ba (0.9393, 0.2336, 0.8878)  6 Bi 3.61-3.79, 2 Rh 3.78, 1 Ba 3.94
Ba (0.6443, 0.3662, 0.3452)  7 Bi 3.50-3.86, 3 Rh 3.59-3.72, 1 Ba 3.88
Ba (0.3557, 0.6338, 0.6548)  7 Bi 3.50-3.86, 3 Rh 3.59-3.72, 1 Ba 3.88
Rh (0.3507, 0.9489, 0.3497)  4 Bi 2.75-2.84
Rh (0.6493, 0.0511, 0.6503)  4 Bi 2.75-2.84

=====

(x)
Density functional theory data (GGA-PBE) for Ba2Bi2Rh after structural relaxation.

Fermi-level density of states = 0.6965 states/eV per atom

a b c (Å): 7.6757 7.6757 5.5385
angles (deg): 90.00 90.00 90.00
Last column: nearest neighbours and their distance in Å.
Fractional coordinates of all 10 atoms:
Bi (0.6499, 0.1499, 0.0000)  2 Rh 2.92, 1 Bi 3.26
Bi (0.3501, 0.8501, 0.0000)  2 Rh 2.92, 1 Bi 3.26
Bi (0.1499, 0.3501, 0.0000)  2 Rh 2.92, 1 Bi 3.26
Bi (0.8501, 0.6499, 0.0000)  2 Rh 2.92, 1 Bi 3.26
Ba (0.6672, 0.8328, 0.5000)  6 Bi 3.41-3.69, 1 Ba 3.63
Ba (0.8328, 0.3328, 0.5000)  6 Bi 3.41-3.69, 1 Ba 3.63
Ba (0.1672, 0.6672, 0.5000)  6 Bi 3.41-3.69, 1 Ba 3.63
Ba (0.3328, 0.1672, 0.5000)  6 Bi 3.41-3.69, 1 Ba 3.63
Rh (0.0000, 0.0000, 0.0000)  4 Bi 2.92
Rh (0.5000, 0.5000, 0.0000)  4 Bi 2.92

=====

Most stable = (w)

=====

(w)
Density functional theory data (GGA-PBE) for BaBi3Rh after structural relaxation.

Fermi-level density of states = 1.3481 states/eV per atom

a b c (Å): 5.4863 5.4863 5.4863
angles (deg): 90.00 90.00 90.00
Last column: nearest neighbours and their distance in Å.
Fractional coordinates of all 5 atoms:
Ba (0.5000, 0.5000, 0.5000)  12 Bi 3.88
Bi (0.5000, 0.0000, 0.0000)  2 Rh 2.74
Bi (0.0000, 0.5000, 0.0000)  2 Rh 2.74
Bi (0.0000, 0.0000, 0.5000)  2 Rh 2.74
Rh (0.0000, 0.0000, 0.0000)  6 Bi 2.74

=====

(x)
Density functional theory data (GGA-PBE) for BaBi3Rh after structural relaxation.

Fermi-level density of states = 0.8216 states/eV per atom

a b c (Å): 5.1956 5.1959 6.8500
angles (deg): 67.38 67.42 90.05
Last column: nearest neighbours and their distance in Å.
Fractional coordinates of all 5 atoms:
Bi (0.8165, 0.6202, 0.0762)  1 Rh 2.70
Bi (0.6321, 0.9374, 0.4391)  2 Rh 2.77
Bi (0.1338, 0.4354, 0.4391)  2 Rh 2.77
Rh (0.0465, 0.8496, 0.6069)  5 Bi 2.70-2.77
Ba (0.3789, 0.1826, 0.9498)  12 Bi 3.73-3.94, 4 Rh 3.78-4.17

=====

Most stable = (x)

=====

(w)
Density functional theory data (GGA-PBE) for BaBi3Rh3 after structural relaxation.

Fermi-level density of states = 0.8485 states/eV per atom

a b c (Å): 7.6276 7.6276 9.0532
angles (deg): 65.09 65.09 60.00
Last column: nearest neighbours and their distance in Å.
Fractional coordinates of all 14 atoms:
Ba (0.3435, 0.3435, 0.9694)  3 Rh 3.38, 6 Bi 3.59-3.70
Ba (0.6565, 0.6565, 0.0306)  3 Rh 3.38, 6 Bi 3.59-3.70
Rh (0.8105, 0.5343, 0.3733)  4 Bi 2.66-2.76, 2 Rh 2.84
Rh (0.1895, 0.4657, 0.6267)  4 Bi 2.66-2.76, 2 Rh 2.84
Rh (0.5343, 0.2819, 0.3733)  4 Bi 2.66-2.76, 2 Rh 2.84
Rh (0.4657, 0.7181, 0.6267)  4 Bi 2.66-2.76, 2 Rh 2.84
Rh (0.7181, 0.1895, 0.6267)  4 Bi 2.66-2.76, 2 Rh 2.84
Rh (0.2819, 0.8105, 0.3733)  4 Bi 2.66-2.76, 2 Rh 2.84
Bi (0.4172, 0.0471, 0.6981)  4 Rh 2.66-2.76
Bi (0.1624, 0.5828, 0.3019)  4 Rh 2.66-2.76
Bi (0.9529, 0.1624, 0.3019)  4 Rh 2.66-2.76
Bi (0.5828, 0.9529, 0.3019)  4 Rh 2.66-2.76
Bi (0.0471, 0.8376, 0.6981)  4 Rh 2.66-2.76
Bi (0.8376, 0.4172, 0.6981)  4 Rh 2.66-2.76

=====

(x)
Density functional theory data (GGA-PBE) for BaBi3Rh3 after structural relaxation.

Fermi-level density of states = 0.9683 states/eV per atom

a b c (Å): 7.4808 7.4808 7.4808
angles (deg): 90.00 90.00 90.00
Last column: nearest neighbours and their distance in Å.
Fractional coordinates of all 14 atoms:
Ba (0.0000, 0.0000, 0.0000)  12 Bi 4.18, 12 Rh 4.18
Ba (0.5000, 0.5000, 0.5000)  12 Bi 4.18, 12 Rh 4.18
Rh (0.0000, 0.5000, 0.2500)  4 Bi 2.64
Rh (0.5000, 0.2500, 0.0000)  4 Bi 2.64
Rh (0.5000, 0.7500, 0.0000)  4 Bi 2.64
Rh (0.2500, 0.0000, 0.5000)  4 Bi 2.64
Rh (0.7500, 0.0000, 0.5000)  4 Bi 2.64
Rh (0.0000, 0.5000, 0.7500)  4 Bi 2.64
Bi (0.5000, 0.0000, 0.7500)  4 Rh 2.64
Bi (0.0000, 0.7500, 0.5000)  4 Rh 2.64
Bi (0.7500, 0.5000, 0.0000)  4 Rh 2.64
Bi (0.5000, 0.0000, 0.2500)  4 Rh 2.64
Bi (0.2500, 0.5000, 0.0000)  4 Rh 2.64
Bi (0.0000, 0.2500, 0.5000)  4 Rh 2.64

=====

Most stable = (w)

=====

(w)
Density functional theory data (GGA-PBE) for BaTl2BiRh after structural relaxation.

Fermi-level density of states = 1.1825 states/eV per atom

a b c (Å): 5.3021 5.3021 5.9234
angles (deg): 90.00 90.00 90.00
Last column: nearest neighbours and their distance in Å.
Fractional coordinates of all 5 atoms:
Tl (0.0000, 0.5000, 0.0000)  2 Rh 2.65
Tl (0.5000, 0.0000, 0.0000)  2 Rh 2.65
Rh (0.0000, 0.0000, 0.0000)  4 Tl 2.65, 2 Ba 2.96
Ba (0.0000, 0.0000, 0.5000)  2 Rh 2.96
Bi (0.5000, 0.5000, 0.5000)  4 Ba 3.75, 8 Tl 3.97

=====

(x)
Density functional theory data (GGA-PBE) for BaTl2BiRh after structural relaxation.

Fermi-level density of states = 0.9501 states/eV per atom

a b c (Å): 5.2969 5.2969 5.6819
angles (deg): 90.00 90.00 90.00
Last column: nearest neighbours and their distance in Å.
Fractional coordinates of all 5 atoms:
Tl (0.5000, 0.0000, 0.0000)  2 Rh 2.65
Tl (0.0000, 0.5000, 0.0000)  2 Rh 2.65
Ba (0.5000, 0.5000, 0.5000)  4 Bi 3.75, 8 Tl 3.88
Bi (0.0000, 0.0000, 0.5000)  2 Rh 2.84
Rh (0.0000, 0.0000, 0.0000)  4 Tl 2.65, 2 Bi 2.84

=====

Most stable = (x)